Compound: CsSb3Te
Source: Alexandria
Functional: PBE-GGA
Structure: optimized geometry

Cell lengths 5.9181, 5.9181, 5.9181 Å; angles 90.00, 90.00, 90.00 degrees
Atoms (fractional coordinates):
Sb  0.0000  0.0000  0.5000
Sb  0.5000  0.0000  0.0000
Sb  0.0000  0.5000  0.0000
Cs  0.5000  0.5000  0.5000
Te  0.0000  0.0000  0.0000

Output
- V (Å³ per atom) = 41.456
- total moment (μB per formula unit) = 0.00
- raw formation energy (eV/atom) = 0.346